{"formula": "Ba2TlMo2O7", "functional": "GGA+U", "state": "relaxed", "lattice": [[-2.265, -2.443, 2.175], [-1.276, -1.776, -3.324], [10.964, -9.427, 0.828]], "species": ["Ba", "Ba", "Tl", "Mo", "Mo", "O", "O", "O", "O", "O", "O", "O"], "fractional_positions": [[0.500, 0.500, 0.682], [0.500, 0.500, 0.318], [0.000, 0.000, 0.500], [0.000, 0.000, 0.832], [0.000, 0.000, 0.168], [0.500, 0.500, 0.500], [0.000, 0.500, 0.839], [0.500, 0.000, 0.839], [0.000, 0.500, 0.161], [0.500, 0.000, 0.161], [0.000, 0.000, 0.695], [0.000, 0.000, 0.305]], "energy_ev_per_atom": -6.326, "space_group": "P4/mmm (123)", "dos_at_fermi_per_ev_cell": 1.5}